Density functional theory data (GGA-PBEsol) for an optimized crystal structure of CaZr3N.

Cell and atoms, written as CIF:
```
data_CaZr3N
_space_group_name_H-M_alt 'P m -3 m'
_space_group_IT_number 221
_space_group_name_Hall '-P 4 2 3'
_cell_length_a 4.595
_cell_length_b 4.595
_cell_length_c 4.595
_cell_angle_alpha 90.00
_cell_angle_beta 90.00
_cell_angle_gamma 90.00
loop_
_atom_site_label
_atom_site_fract_x
_atom_site_fract_y
_atom_site_fract_z
Ca1 0.000 0.000 0.000
Zr1 0.000 0.500 0.500
N1 0.500 0.500 0.500
```

Properties
Formation energy from raw total energies: -0.526 eV per atom
E: -8.112 eV per atom